The following is a GGA-PBE calculation of crystalline DyEr6Tm8 at its relaxed geometry, from Alexandria.

It has space group R-3 (No. 148, hexagonal axes), with a = 8.8886 Å, b = 8.8886 Å, c = 20.2654 Å, α = 90.00°, β = 90.00° and γ = 120.00°. The asymmetric unit holds Dy at (0.0000, 0.0000, 0.0000), Er at (0.0698, 0.8214, 0.7077), Tm at (0.0000, 0.0000, 0.4237) and Tm at (0.0814, 0.5302, 0.8091).

Its calculated volume is 462.20 Å³/f.u. For the magnetization, the calculation gives 0.000 μB per formula unit. For the total energy, the calculation gives -4.38 eV per atom.

=====

The following is a GGA-PBE calculation of crystalline Dy8Er6Tm at its relaxed geometry, from Alexandria.

It has space group R-3 (No. 148, hexagonal axes), with a = 8.9378 Å, b = 8.9378 Å, c = 20.4010 Å, α = 90.00°, β = 90.00° and γ = 120.00°. The asymmetric unit holds Dy at (0.0000, 0.0000, 0.0768), Dy at (0.0818, 0.5288, 0.3082), Er at (0.0612, 0.8135, 0.2068) and Tm at (0.0000, 0.0000, 0.5000).

Its calculated volume is 470.46 Å³/f.u. For the magnetization, the calculation gives 0.000 μB per formula unit. For the total energy, the calculation gives -4.45 eV per atom.

=====

The following is a GGA-PBE calculation of crystalline Dy12ErTm2 at its relaxed geometry, from Alexandria.

It has space group P2/m (No. 10), with a = 3.537 Å, b = 5.541 Å, c = 24.136 Å, α = 90.00°, β = 94.16° and γ = 90.00°. The asymmetric unit holds Dy at (0.037, 0.000, 0.073), Dy at (0.225, 0.000, 0.444), Dy at (0.286, 0.500, 0.576), Dy at (0.334, 0.000, 0.671), Dy at (0.400, 0.000, 0.799), Dy at (0.430, 0.500, 0.863), Er at (0.500, 0.500, 0.000) and Tm at (0.136, 0.500, 0.271).

Its calculated volume is 471.81 Å³/f.u. For the magnetization, the calculation gives 0.000 μB per formula unit. For the total energy, the calculation gives -4.46 eV per atom.

=====

The following is a GGA-PBE calculation of crystalline Dy2ErTm6 at its relaxed geometry, from Alexandria.

It has space group C2/c (No. 15), with a = 12.591 Å, b = 13.990 Å, c = 6.438 Å, α = 90.00°, β = 103.78° and γ = 90.00°. The asymmetric unit holds Dy at (0.141, 0.024, 0.371), Er at (0.000, 0.381, 0.250), Tm at (0.037, 0.186, 0.003), Tm at (0.134, 0.412, 0.814) and Tm at (0.239, 0.200, 0.729).

Its calculated volume is 275.37 Å³/f.u. For the magnetization, the calculation gives 0.000 μB per formula unit. For the total energy, the calculation gives -4.40 eV per atom.

=====

The following is a GGA-PBE calculation of crystalline Dy12Er5Tm2 at its relaxed geometry, from Alexandria.

It has space group C2/m (No. 12), with a = 15.621 Å, b = 9.098 Å, c = 8.455 Å, α = 90.00°, β = 91.08° and γ = 90.00°. The asymmetric unit holds Dy at (0.058, 0.000, 0.337), Dy at (0.091, 0.500, 0.885), Dy at (0.127, 0.194, 0.665), Dy at (0.154, 0.318, 0.242), Er at (0.000, 0.500, 0.500), Er at (0.198, 0.000, 0.013), Er at (0.232, 0.500, 0.573) and Tm at (0.000, 0.176, 0.000).

Its calculated volume is 600.76 Å³/f.u. For the magnetization, the calculation gives 0.000 μB per formula unit. For the total energy, the calculation gives -4.45 eV per atom.

=====

The following is a GGA-PBE calculation of crystalline Dy5Er2Tm6 at its relaxed geometry, from Alexandria.

It has space group Pbam (No. 55), with a = 11.460 Å, b = 19.996 Å, c = 3.522 Å, α = 90.00°, β = 90.00° and γ = 90.00°. The asymmetric unit holds Dy at (0.000, 0.000, 0.000), Dy at (0.088, 0.272, 0.000), Dy at (0.198, 0.550, 0.000), Er at (0.168, 0.709, 0.500), Tm at (0.060, 0.418, 0.500), Tm at (0.083, 0.131, 0.500) and Tm at (0.173, 0.863, 0.000).

Its calculated volume is 403.50 Å³/f.u. For the magnetization, the calculation gives 0.000 μB per formula unit. For the total energy, the calculation gives -4.44 eV per atom.

=====

The following is a GGA-PBE calculation of crystalline Dy7Er16Tm6 at its relaxed geometry, from Alexandria.

It has space group Fm-3m (No. 225), with a = 15.519 Å, b = 15.519 Å, c = 15.519 Å, α = 90.00°, β = 90.00° and γ = 90.00°. The asymmetric unit holds Dy at (0.000, 0.000, 0.000), Dy at (0.000, 0.250, 0.250), Er at (0.123, 0.123, 0.123), Er at (0.151, 0.151, 0.349) and Tm at (0.000, 0.000, 0.273).

Its calculated volume is 934.31 Å³/f.u. For the magnetization, the calculation gives 0.160 μB per formula unit. For the total energy, the calculation gives -4.29 eV per atom.

=====

The following is a GGA-PBE calculation of crystalline Dy4ErTm at its relaxed geometry, from Alexandria.

It has space group C2/m (No. 12), with a = 17.100 Å, b = 3.554 Å, c = 6.158 Å, α = 90.00°, β = 96.88° and γ = 90.00°. The asymmetric unit holds Dy at (0.166, 0.000, 0.389), Dy at (0.166, 0.500, 0.889), Er at (0.000, 0.000, 0.000) and Tm at (0.000, 0.500, 0.500).

Its calculated volume is 185.76 Å³/f.u. For the magnetization, the calculation gives 0.000 μB per formula unit. For the total energy, the calculation gives -4.57 eV per atom.